This record from Alexandria describes an optimized crystal structure of TaRuCl2. The functional is PBE-GGA.

Summary:
- Density of states at the Fermi level: 4.83 states/eV/f.u.
- Crystal system: cubic
- E_form (uncorrected): 0.72 eV per atom
- Magnetization: 0.0 μB/f.u.
- Energy relative to the lowest polymorph listed for this composition: 1.202 eV per atom
- Calculated volume: 14.980 Å³ per atom
- SG: No. 225

a = 4.392 Å, b = 4.392 Å, c = 4.392 Å
α = 60.00°, β = 60.00°, γ = 60.00°
Fractional coordinates of all 4 atoms:
Ru  0.000  0.000  0.000
Cl  0.750  0.750  0.750
Cl  0.250  0.250  0.250
Ta  0.500  0.500  0.500

This record from Alexandria describes an optimized crystal structure of TaRuCl2. The functional is PBE-GGA.

Summary:
- Density of states at the Fermi level: 3.63 states/eV/f.u.
- Crystal system: trigonal
- E_form (uncorrected): 0.12 eV per atom
- Magnetization: 0.0 μB/f.u.
- Energy relative to the lowest polymorph listed for this composition: 0.602 eV per atom
- Calculated volume: 16.621 Å³ per atom
- SG: No. 166

a = 8.451 Å, b = 8.451 Å, c = 8.451 Å
α = 20.77°, β = 20.77°, γ = 20.77°
Fractional coordinates of all 4 atoms:
Cl  0.907  0.907  0.907
Cl  0.093  0.093  0.093
Ta  0.500  0.500  0.500
Ru  0.000  0.000  0.000

What did the first record say?
This record from Alexandria describes an optimized crystal structure of TaRuCl2. The functional is PBE-GGA.

Summary:
- Density of states at the Fermi level: 4.83 states/eV/f.u.
- Crystal system: cubic
- E_form (uncorrected): 0.72 eV per atom
- Magnetization: 0.0 μB/f.u.
- Energy relative to the lowest polymorph listed for this composition: 1.202 eV per atom
- Calculated volume: 14.980 Å³ per atom
- SG: No. 225

a = 4.392 Å, b = 4.392 Å, c = 4.392 Å
α = 60.00°, β = 60.00°, γ = 60.00°
Fractional coordinates of all 4 atoms:
Ru  0.000  0.000  0.000
Cl  0.750  0.750  0.750
Cl  0.250  0.250  0.250
Ta  0.500  0.500  0.500

Question: What is the E_form (uncorrected) in the first record?
Answer: 0.72 eV per atom

Question: The highest E_form (uncorrected) belongs to which entry?
Answer: number 1

Question: density of states at the Fermi level of number 1 (TaRuCl2)?
Answer: 4.83 states/eV/f.u.